Entry 1:
# Sb2HPt, relaxed, DFT GGA-PBE
data_Sb2HPt
_cell_length_a 4.637
_cell_length_b 4.637
_cell_length_c 4.637
_cell_angle_alpha 60.00
_cell_angle_beta 60.00
_cell_angle_gamma 60.00
_space_group_name_H-M_alt 'P 1'
_space_group_IT_number 1
_space_group_name_Hall 'P 1'
loop_
_atom_site_label
_atom_site_type_symbol
_atom_site_fract_x
_atom_site_fract_y
_atom_site_fract_z
Sb1 Sb 0.250 0.250 0.250
Sb2 Sb 0.750 0.750 0.750
Pt1 Pt 0.500 0.500 0.500
H1 H 0.000 0.000 0.000
# energy above the lowest structure with this stoichiometry: 0.000 eV per atom
# D(E_F): 1.361 states/eV/cell

=====

Entry 2:
# Mo3WCl9, relaxed, DFT GGA-PBE
data_Mo3WCl9
_cell_length_a 10.716
_cell_length_b 13.167
_cell_length_c 8.574
_cell_angle_alpha 82.03
_cell_angle_beta 51.32
_cell_angle_gamma 65.99
_space_group_name_H-M_alt 'P 1'
_space_group_IT_number 1
_space_group_name_Hall 'P 1'
loop_
_atom_site_label
_atom_site_type_symbol
_atom_site_fract_x
_atom_site_fract_y
_atom_site_fract_z
Mo1 Mo 0.934 0.523 0.759
Mo2 Mo 0.784 0.023 0.259
Mo3 Mo 0.145 0.002 0.732
Mo4 Mo 0.121 0.502 0.232
Mo5 Mo 0.000 0.185 0.808
Mo6 Mo 0.006 0.685 0.308
W1 W 0.968 0.490 0.000
W2 W 0.542 0.990 0.500
Cl1 Cl 0.706 0.196 0.129
Cl2 Cl 0.969 0.696 0.629
Cl3 Cl 0.265 0.418 0.876
Cl4 Cl 0.440 0.918 0.376
Cl5 Cl 0.317 0.172 0.546
Cl6 Cl 0.965 0.672 0.046
Cl7 Cl 0.668 0.595 0.129
Cl8 Cl 0.608 0.095 0.629
Cl9 Cl 0.680 0.798 0.534
Cl10 Cl 0.987 0.298 0.034
Cl11 Cl 0.291 0.965 0.874
Cl12 Cl 0.869 0.465 0.374
Cl13 Cl 0.329 0.598 0.076
Cl14 Cl 0.997 0.098 0.576
Cl15 Cl 0.825 0.392 0.780
Cl16 Cl 0.002 0.892 0.280
Cl17 Cl 0.933 0.924 0.932
Cl18 Cl 0.211 0.424 0.432
# energy relative to the elements, uncorrected: -581 meV per atom
# D(E_F): 5.810 states/eV/cell

=====

Entry 3:
# TbDyCoPd, relaxed, DFT GGA-PBE
data_TbDyCoPd
_cell_length_a 4.860
_cell_length_b 4.860
_cell_length_c 4.860
_cell_angle_alpha 60.00
_cell_angle_beta 60.00
_cell_angle_gamma 60.00
_space_group_name_H-M_alt 'P 1'
_space_group_IT_number 1
_space_group_name_Hall 'P 1'
loop_
_atom_site_label
_atom_site_type_symbol
_atom_site_fract_x
_atom_site_fract_y
_atom_site_fract_z
Co1 Co 0.500 0.500 0.500
Tb1 Tb 0.750 0.750 0.750
Pd1 Pd 0.000 0.000 0.000
Dy1 Dy 0.250 0.250 0.250
# D(E_F): 2.554 states/eV/cell
# formation enthalpy at 0 K: -478 meV/atom

=====

Repeat the second record exactly.
# Mo3WCl9, relaxed, DFT GGA-PBE
data_Mo3WCl9
_cell_length_a 10.716
_cell_length_b 13.167
_cell_length_c 8.574
_cell_angle_alpha 82.03
_cell_angle_beta 51.32
_cell_angle_gamma 65.99
_space_group_name_H-M_alt 'P 1'
_space_group_IT_number 1
_space_group_name_Hall 'P 1'
loop_
_atom_site_label
_atom_site_type_symbol
_atom_site_fract_x
_atom_site_fract_y
_atom_site_fract_z
Mo1 Mo 0.934 0.523 0.759
Mo2 Mo 0.784 0.023 0.259
Mo3 Mo 0.145 0.002 0.732
Mo4 Mo 0.121 0.502 0.232
Mo5 Mo 0.000 0.185 0.808
Mo6 Mo 0.006 0.685 0.308
W1 W 0.968 0.490 0.000
W2 W 0.542 0.990 0.500
Cl1 Cl 0.706 0.196 0.129
Cl2 Cl 0.969 0.696 0.629
Cl3 Cl 0.265 0.418 0.876
Cl4 Cl 0.440 0.918 0.376
Cl5 Cl 0.317 0.172 0.546
Cl6 Cl 0.965 0.672 0.046
Cl7 Cl 0.668 0.595 0.129
Cl8 Cl 0.608 0.095 0.629
Cl9 Cl 0.680 0.798 0.534
Cl10 Cl 0.987 0.298 0.034
Cl11 Cl 0.291 0.965 0.874
Cl12 Cl 0.869 0.465 0.374
Cl13 Cl 0.329 0.598 0.076
Cl14 Cl 0.997 0.098 0.576
Cl15 Cl 0.825 0.392 0.780
Cl16 Cl 0.002 0.892 0.280
Cl17 Cl 0.933 0.924 0.932
Cl18 Cl 0.211 0.424 0.432
# energy relative to the elements, uncorrected: -581 meV per atom
# D(E_F): 5.810 states/eV/cell